# 1
# KIn2Rh PBEsol relaxed
# Crystal system   tetragonal
data_KIn2Rh
_chemical_formula_sum 'K1 In2 Rh1'
_symmetry_space_group_name_H-M 'P 1'
_symmetry_Int_Tables_number 1
_symmetry_space_group_name_Hall 'P 1'
_cell_length_a 3.197
_cell_length_b 3.197
_cell_length_c 8.885
_cell_angle_alpha 90.00
_cell_angle_beta 90.00
_cell_angle_gamma 90.00
loop_
_atom_site_label
_atom_site_fract_x
_atom_site_fract_y
_atom_site_fract_z
_atom_site_occupancy
In1 0.000 0.000 0.315 1
In2 0.000 0.000 0.685 1
Rh1 0.500 0.500 0.500 1
K1 0.500 0.500 0.000 1


# 2
# Y2TlCo PBEsol relaxed
# Crystal system   trigonal
data_Y2TlCo
_chemical_formula_sum 'Y2 Tl1 Co1'
_symmetry_space_group_name_H-M 'P 1'
_symmetry_Int_Tables_number 1
_symmetry_space_group_name_Hall 'P 1'
_cell_length_a 3.677
_cell_length_b 3.677
_cell_length_c 8.449
_cell_angle_alpha 77.43
_cell_angle_beta 77.43
_cell_angle_gamma 60.00
loop_
_atom_site_label
_atom_site_fract_x
_atom_site_fract_y
_atom_site_fract_z
_atom_site_occupancy
Y1 0.769 0.769 0.693 1
Y2 0.231 0.231 0.307 1
Tl1 0.000 0.000 0.000 1
Co1 0.500 0.500 0.500 1


Values of energy, in order: -3.96, -6.18, all in eV per atom.
Values of calculated formation energy, in order: -153, -172, all in meV/atom.